[1]
{
  "formula": "Gd3Ga2Ni6",
  "functional": "GGA-PBE",
  "state": "relaxed",
  "rho_g_cm3": 8.914,
  "sg": "No. 229",
  "lattice": [[7.7542, 0.0000, 0.0000], [-2.5847, 7.3107, 0.0000], [-2.5847, -3.6554, 6.3313]],
  "species": ["Gd", "Gd", "Gd", "Gd", "Gd", "Gd", "Ga", "Ga", "Ga", "Ga", "Ni", "Ni", "Ni", "Ni", "Ni", "Ni", "Ni", "Ni", "Ni", "Ni", "Ni", "Ni"],
  "frac_coords": [[0.7090, 0.7090, 0.0000], [0.2910, 0.0000, 0.2910], [0.0000, 0.2910, 0.2910], [0.2910, 0.2910, 0.0000], [0.7090, 0.0000, 0.7090], [0.0000, 0.7090, 0.7090], [0.0000, 0.0000, 0.5000], [0.0000, 0.5000, 0.0000], [0.5000, 0.0000, 0.0000], [0.5000, 0.5000, 0.5000], [0.3364, 0.3364, 0.6727], [0.6636, 0.0000, 0.3364], [0.0000, 0.6636, 0.3364], [0.6636, 0.3364, 0.0000], [0.3364, 0.6727, 0.3364], [0.0000, 0.3364, 0.6636], [0.3364, 0.6636, 0.0000], [0.3364, 0.0000, 0.6636], [0.6727, 0.3364, 0.3364], [0.6636, 0.6636, 0.3273], [0.6636, 0.3273, 0.6636], [0.3273, 0.6636, 0.6636]]
}

[2]
{
  "formula": "GdGaNi",
  "functional": "GGA-PBE",
  "state": "relaxed",
  "rho_g_cm3": 8.164,
  "sg": "No. 187",
  "lattice": [[3.7046, 0.0000, 0.0000], [0.0000, 4.2556, 0.0000], [0.0000, -2.1278, 3.6855]],
  "species": ["Ni", "Gd", "Ga"],
  "frac_coords": [[0.1666, 0.0000, 0.0000], [0.6667, 0.6667, 0.3333], [0.1667, 0.3333, 0.6667]]
}

no.,D(E_F) (states/eV/cell),ΔE_f (eV/atom)
1,13.89,-0.52
2,2.07,-0.58